1.
Below is IrRh3O at its PBEsol-relaxed geometry, with properties calculated at the SCAN level.

Computed properties:
**Total DFT energy (no corrections)**: -33.844 eV per atom
**Formation energy without anion corrections**: 1.885 eV per atom
**Symmetry**: Pm-3m, No. 221

abc: 4.6435 4.6435 4.6435
angles: 90.00 90.00 90.00
With the nearest neighbours (Å) after each atom.
Element x y z (fractional)
1 Ir 0.0000 0.0000 0.0000  6 Rh 2.32
2 Rh 0.0000 0.0000 0.5000  2 Ir 2.32
3 Rh 0.0000 0.5000 0.0000  2 Ir 2.32
4 Rh 0.5000 0.0000 0.0000  2 Ir 2.32
5 O 0.5000 0.5000 0.5000  12 Rh 3.28


2.
Below is Cu2AsPt at its PBEsol-relaxed geometry, with properties calculated at the SCAN level.

Computed properties:
**Total DFT energy (no corrections)**: -30.302 eV per atom
**Symmetry**: Immm, No. 71
**ΔH_f (0 K)**: -106 meV/atom

abc: 3.6759 3.6992 7.9330
angles: 90.00 90.00 90.00
With the nearest neighbours (Å) after each atom.
Element x y z (fractional)
1 Cu 0.0000 0.0000 0.2492  4 Cu 2.61, 4 As 2.70-2.72, 4 Pt 2.71
2 Cu 0.0000 0.0000 0.7508  4 Cu 2.61, 4 As 2.70-2.72, 4 Pt 2.71
3 Cu 0.5000 0.5000 0.2508  4 Cu 2.61, 4 As 2.70-2.72, 4 Pt 2.71
4 Cu 0.5000 0.5000 0.7492  4 Cu 2.61, 4 As 2.70-2.72, 4 Pt 2.71
5 As 0.0000 0.5000 0.5000  4 Pt 2.61, 8 Cu 2.70-2.72
6 As 0.5000 0.0000 0.0000  4 Pt 2.61, 8 Cu 2.70-2.72
7 Pt 0.0000 0.5000 0.0000  4 As 2.61, 8 Cu 2.71
8 Pt 0.5000 0.0000 0.5000  4 As 2.61, 8 Cu 2.71